The following is a GGA-PBE calculation of an optimized crystal structure of Th2Hg2C, from Alexandria.

Values from the calculation:
As for the total moment: 0.00 Bohr magnetons per cell. The formation energy is -0.89 eV/f.u.

Geometry as CIF:
```
data_Th2Hg2C
_cell_length_a 3.850
_cell_length_b 3.850
_cell_length_c 36.156
_cell_angle_alpha 90.00
_cell_angle_beta 90.00
_cell_angle_gamma 90.00
_space_group_name_H-M_alt 'I 41/a m d'
_space_group_IT_number 141
loop_
_space_group_symop_operation_xyz
'x,y,z'
'-x,-y,-z'
'-y+1/4,x+3/4,z+1/4'
'y+1/4,-x+3/4,-z+1/4'
'-x+1/2,-y,z+1/2'
'x+1/2,y,-z+1/2'
'y+1/4,-x+1/4,z+3/4'
'-y+1/4,x+1/4,-z+3/4'
'x,-y,-z'
'-x,y,z'
'-y+1/4,-x+1/4,-z+3/4'
'y+1/4,x+1/4,z+3/4'
'-x+1/2,y,-z+1/2'
'x+1/2,-y,z+1/2'
'y+1/4,x+3/4,-z+1/4'
'-y+1/4,-x+3/4,z+1/4'
'x+1/2,y+1/2,z+1/2'
'-x+1/2,-y+1/2,-z+1/2'
'-y+3/4,x+1/4,z+3/4'
'y+3/4,-x+1/4,-z+3/4'
'-x,-y+1/2,z'
'x,y+1/2,-z'
'y+3/4,-x+3/4,z+1/4'
'-y+3/4,x+3/4,-z+1/4'
'x+1/2,-y+1/2,-z+1/2'
'-x+1/2,y+1/2,z+1/2'
'-y+3/4,-x+3/4,-z+1/4'
'y+3/4,x+3/4,z+1/4'
'-x,y+1/2,-z'
'x,-y+1/2,z'
'y+3/4,x+1/4,-z+3/4'
'-y+3/4,-x+1/4,z+3/4'
loop_
_atom_site_label
_atom_site_fract_x
_atom_site_fract_y
_atom_site_fract_z
Th1 0.000 0.250 0.087
Hg1 0.000 0.250 0.219
C1 0.000 0.250 0.875
```